Entry from Alexandria: an optimized crystal structure of MgCd2Br (PBE).

Total magnetization in Bohr magnetons per cell: 0.000
E_form (uncorrected) in eV/f.u.: -0.92
Space-group type: Imm2
N(E_F) in states/eV/atom: 0.38
Energy above the most stable polymorph in this dataset in meV per atom: 149.4

a b c (Å): 6.212 6.212 6.212
angles (deg): 148.24 121.58 68.04
Sites, in units of the cell vectors:
Mg 0.510 0.510 0.000
Cd 0.272 0.772 0.500
Cd 0.014 0.014 0.000
Br 0.704 0.204 0.500

***

Entry from Alexandria: an optimized crystal structure of MgCdBr4 (PBE).

Total magnetization in Bohr magnetons per cell: 0.000
E_form (uncorrected) in eV/f.u.: -7.00
Space-group type: P2/m
N(E_F) in states/eV/atom: 0.00
Energy above the most stable polymorph in this dataset in meV per atom: 0.0

a b c (Å): 3.955 6.988 6.905
angles (deg): 90.78 90.00 90.00
Sites, in units of the cell vectors:
Mg 0.500 0.000 0.500
Br 0.000 0.218 0.347
Br 0.000 0.782 0.653
Cd 0.000 0.000 0.000
Br 0.500 0.776 0.175
Br 0.500 0.224 0.825

***

Entry from Alexandria: an optimized crystal structure of MgCd2Br (PBE).

Total magnetization in Bohr magnetons per cell: 0.000
E_form (uncorrected) in eV/f.u.: -0.92
Space-group type: C2/m
N(E_F) in states/eV/atom: 0.27
Energy above the most stable polymorph in this dataset in meV per atom: 150.3

a b c (Å): 6.526 6.526 4.209
angles (deg): 71.82 71.82 126.55
Sites, in units of the cell vectors:
Cd 0.000 0.000 0.000
Cd 0.500 0.500 0.000
Br 0.000 0.500 0.500
Mg 0.500 0.000 0.500

***

Entry from Alexandria: an optimized crystal structure of Na2MgCdBr (PBE).

Total magnetization in Bohr magnetons per cell: 0.000
E_form (uncorrected) in eV/f.u.: -0.55
Space-group type: P4/mmm
N(E_F) in states/eV/atom: 0.76

a b c (Å): 5.841 5.429 5.841
angles (deg): 90.00 90.00 90.00
Sites, in units of the cell vectors:
Na 0.000 0.000 0.500
Na 0.500 0.000 0.000
Mg 0.000 0.500 0.000
Br 0.500 0.500 0.500
Cd 0.000 0.000 0.000

***

Entry from Alexandria: an optimized crystal structure of Na2MgCdBr6 (PBE).

Total magnetization in Bohr magnetons per cell: 0.000
E_form (uncorrected) in eV/f.u.: -12.81
Space-group type: R3
N(E_F) in states/eV/atom: 0.00

a b c (Å): 7.253 7.252 7.595
angles (deg): 61.46 61.46 60.00
Sites, in units of the cell vectors:
Na 0.524 0.524 0.428
Br 0.443 0.695 0.765
Br 0.694 0.097 0.765
Mg 0.321 0.321 0.037
Br 0.956 0.583 0.257
Br 0.203 0.956 0.257
Br 0.583 0.203 0.257
Na 0.020 0.020 0.939
Br 0.097 0.443 0.765
Cd 0.819 0.819 0.544

***

Entry from Alexandria: an optimized crystal structure of MgCdPbBr6 (PBE).

Total magnetization in Bohr magnetons per cell: 0.000
E_form (uncorrected) in eV/f.u.: -9.46
Space-group type: P-31c
N(E_F) in states/eV/atom: 0.00

a b c (Å): 7.069 7.069 13.176
angles (deg): 90.00 90.00 120.00
Sites, in units of the cell vectors:
Br 0.636 0.647 0.132
Br 0.636 0.989 0.368
Br 0.364 0.011 0.632
Br 0.989 0.353 0.632
Pb 0.000 0.000 0.000
Br 0.353 0.989 0.132
Br 0.353 0.364 0.368
Cd 0.333 0.667 0.750
Cd 0.667 0.333 0.250
Pb 0.000 0.000 0.500
Br 0.011 0.364 0.132
Br 0.647 0.011 0.868
Br 0.011 0.647 0.368
Mg 0.333 0.667 0.250
Br 0.364 0.353 0.868
Mg 0.667 0.333 0.750
Br 0.647 0.636 0.632
Br 0.989 0.636 0.868

***

Entry from Alexandria: an optimized crystal structure of RbMgCdBr5 (PBE).

Total magnetization in Bohr magnetons per cell: 0.000
E_form (uncorrected) in eV/f.u.: -10.38
Space-group type: C2/c
N(E_F) in states/eV/atom: 0.00

a b c (Å): 7.910 7.910 10.060
angles (deg): 102.94 102.94 106.63
Sites, in units of the cell vectors:
Mg 0.000 0.000 0.000
Br 0.694 0.087 0.408
Cd 0.311 0.689 0.750
Br 0.913 0.306 0.092
Br 0.087 0.694 0.908
Br 0.634 0.762 0.944
Br 0.064 0.936 0.250
Br 0.936 0.064 0.750
Rb 0.340 0.660 0.250
Cd 0.689 0.311 0.250
Br 0.762 0.634 0.444
Br 0.366 0.238 0.056
Br 0.238 0.366 0.556
Mg 0.000 0.000 0.500
Rb 0.660 0.340 0.750
Br 0.306 0.913 0.592

***

Entry from Alexandria: an optimized crystal structure of MgCdSeBr2 (PBE).

Total magnetization in Bohr magnetons per cell: 0.000
E_form (uncorrected) in eV/f.u.: -2.52
Space-group type: P4/mmm
N(E_F) in states/eV/atom: 0.48
Energy above the most stable polymorph in this dataset in meV per atom: 0.0

a b c (Å): 5.060 5.060 5.517
angles (deg): 90.00 90.00 90.00
Sites, in units of the cell vectors:
Br 0.500 0.000 0.000
Se 0.000 0.000 0.500
Mg 0.000 0.000 0.000
Br 0.000 0.500 0.000
Cd 0.500 0.500 0.500

***

Entry from Alexandria: an optimized crystal structure of MgCdSe2Br (PBE).

Total magnetization in Bohr magnetons per cell: 0.000
E_form (uncorrected) in eV/f.u.: -0.96
Space-group type: P4/mmm
N(E_F) in states/eV/atom: 1.08
Energy above the most stable polymorph in this dataset in meV per atom: 0.0

a b c (Å): 5.166 5.166 5.075
angles (deg): 90.00 90.00 90.00
Sites, in units of the cell vectors:
Mg 0.000 0.000 0.000
Se 0.000 0.500 0.000
Se 0.500 0.000 0.000
Br 0.000 0.000 0.500
Cd 0.500 0.500 0.500

***

Entry from Alexandria: an optimized crystal structure of MgCdSnBr6 (PBE).

Total magnetization in Bohr magnetons per cell: 0.000
E_form (uncorrected) in eV/f.u.: -8.95
Space-group type: P-31c
N(E_F) in states/eV/atom: 0.00

a b c (Å): 7.047 7.047 13.047
angles (deg): 90.00 90.00 120.00
Sites, in units of the cell vectors:
Br 0.639 0.651 0.131
Mg 0.333 0.667 0.250
Sn 0.000 0.000 0.500
Mg 0.667 0.333 0.750
Br 0.651 0.011 0.869
Br 0.349 0.989 0.131
Cd 0.333 0.667 0.750
Br 0.639 0.989 0.369
Br 0.361 0.011 0.631
Br 0.011 0.361 0.131
Br 0.651 0.639 0.631
Br 0.989 0.349 0.631
Cd 0.667 0.333 0.250
Br 0.989 0.639 0.869
Br 0.011 0.651 0.369
Br 0.349 0.361 0.369
Br 0.361 0.349 0.869
Sn 0.000 0.000 0.000

***

Entry from Alexandria: an optimized crystal structure of MgCd2TeBr (PBE).

Total magnetization in Bohr magnetons per cell: 0.000
E_form (uncorrected) in eV/f.u.: 0.35
Space-group type: P4/mmm
N(E_F) in states/eV/atom: 0.82

a b c (Å): 5.772 5.210 5.772
angles (deg): 90.00 90.00 90.00
Sites, in units of the cell vectors:
Cd 0.000 0.000 0.500
Br 0.500 0.500 0.500
Te 0.000 0.500 0.000
Cd 0.500 0.000 0.000
Mg 0.000 0.000 0.000

***

Entry from Alexandria: an optimized crystal structure of Mn3CdBr (PBE).

Total magnetization in Bohr magnetons per cell: 10.747
E_form (uncorrected) in eV/f.u.: 4.75
Space-group type: Pm-3m
N(E_F) in states/eV/atom: 1.05
Energy above the most stable polymorph in this dataset in meV per atom: 0.0

a b c (Å): 4.710 4.710 4.710
angles (deg): 90.00 90.00 90.00
Last column: magnetic moment on the atom in μB.
Sites, in units of the cell vectors:
Cd 0.500 0.500 0.500  -0.02
Br 0.000 0.000 0.000  0.00
Mn 0.500 0.000 0.000  3.72
Mn 0.000 0.000 0.500  3.41
Mn 0.000 0.500 0.000  3.55